## PmHo2 (GGA-PBE)

Data for an optimized crystal structure of PmHo2.

Values from the calculation:
**Magnetic moment**: 0.93 μB/f.u.
**Calculated formation energy**: 0.2872 eV/atom

abc: 6.603 6.603 6.603
angles: 60.00 60.00 60.00
Atoms (fractional coordinates):
Pm (0.125, 0.125, 0.125)
Pm (0.875, 0.875, 0.875)
Ho (0.000, 0.500, 0.500)
Ho (0.500, 0.000, 0.500)
Ho (0.500, 0.500, 0.000)
Ho (0.500, 0.500, 0.500)